DFT (GGA+U) results for a relaxed structure of Cs2AcW3O12.

Values from the calculation:
Theoretical density: 6.3 g cm⁻³
Density of states at the Fermi level: 9.55 states/eV/f.u.
E: -125.946 eV per cell
Spin magnetization: 0.70 μB per cell

Structure (extended XYZ):
```
18
Lattice="3.7928 2.1898 6.5488 -3.7928 2.1898 6.5488 0.0000 -4.3796 6.5488" Properties=species:S:1:pos:R:3 pbc="T T T"
Cs 0.0000 0.0000 2.4074
Cs 0.0000 0.0000 17.2389
Ac 0.0000 0.0000 9.8231
W -1.8964 -1.0949 6.5488
W -1.8964 1.0949 13.0975
W 0.0000 2.1898 6.5488
O -1.7907 -1.0339 8.4508
O 0.0000 -1.5951 6.4698
O -1.3814 0.7975 6.4698
O 0.0000 -2.0677 11.1955
O -1.7907 1.0339 11.1955
O -1.3814 -0.7975 13.1765
O 1.3814 0.7975 6.4698
O 1.7907 -1.0338 8.4508
O 0.0000 2.0677 8.4508
O 1.3814 -0.7975 13.1765
O 0.0000 1.5951 13.1765
O 1.7907 1.0338 11.1955
```